1.
The following is a DFT calculation (PBE) of a geometry-optimized Mn2InS structure.

a = 6.9903 Å, b = 6.9903 Å, c = 5.7769 Å
α = 52.77°, β = 52.77°, γ = 90.00°
With the nearest neighbours (Å) after each atom.
Sites, in units of the cell vectors:
S (0.5000, 0.5000, 0.0000)  4 Mn 2.35
S (0.2500, 0.7500, 0.5000)  4 Mn 2.35
Mn (0.5735, 0.1250, 0.2500)  2 S 2.35
Mn (0.1765, 0.6250, 0.2500)  2 S 2.35
Mn (0.3750, 0.4265, 0.7500)  2 S 2.35
Mn (0.8750, 0.8235, 0.7500)  2 S 2.35
In (0.0000, 0.0000, 0.0000)  8 Mn 2.84-3.16, 2 S 2.99
In (0.7500, 0.2500, 0.5000)  8 Mn 2.84-3.16, 2 S 2.99

Calculated values
Its energy is -6.161 eV per atom. As for the crystal system: tetragonal. The value obtained for the energy relative to the lowest polymorph listed for this composition is 0.000 eV/atom. As for the energy relative to the elements, uncorrected: 141 meV per atom.

---

2.
The following is a DFT calculation (PBE) of a geometry-optimized TmMgGe structure.

a = 4.2507 Å, b = 5.6754 Å, c = 6.3862 Å
α = 72.35°, β = 70.56°, γ = 68.01°
With the nearest neighbours (Å) after each atom.
Sites, in units of the cell vectors:
Tm (0.4302, 0.3078, 0.8319)  5 Ge 2.96-3.14
Tm (0.5698, 0.6922, 0.1681)  5 Ge 2.96-3.14
Mg (0.8299, 0.7620, 0.5782)  3 Ge 2.72-2.78
Mg (0.1701, 0.2380, 0.4218)  3 Ge 2.72-2.78
Ge (0.8480, 0.1288, 0.1752)  3 Mg 2.72-2.78, 1 Ge 2.73, 3 Tm 2.96-2.98
Ge (0.1520, 0.8712, 0.8248)  3 Mg 2.72-2.78, 1 Ge 2.73, 3 Tm 2.96-2.98

Calculated values
Its energy is -4.092 eV per atom. As for the crystal system: monoclinic.

---

3.
The following is a DFT calculation (PBE) of a geometry-optimized Th2Ni4Ge3Ir structure.

a = 4.1081 Å, b = 4.1081 Å, c = 10.0170 Å
α = 90.00°, β = 90.00°, γ = 90.00°
With the nearest neighbours (Å) after each atom.
Sites, in units of the cell vectors:
Th (0.5000, 0.0000, 0.2509)  8 Ni 3.10-3.25, 6 Ge 3.18-3.23, 2 Ir 3.23
Th (0.0000, 0.5000, 0.7491)  8 Ni 3.10-3.25, 6 Ge 3.18-3.23, 2 Ir 3.23
Ni (0.5000, 0.5000, 0.0000)  4 Ge 2.39
Ni (0.0000, 0.0000, 0.0000)  4 Ge 2.39
Ni (0.5000, 0.0000, 0.6411)  3 Ge 2.36-2.49, 2 Ir 2.49
Ni (0.0000, 0.5000, 0.3589)  3 Ge 2.36-2.49, 2 Ir 2.49
Ge (0.0000, 0.0000, 0.5000)  4 Ni 2.49
Ge (0.5000, 0.0000, 0.8772)  5 Ni 2.36-2.39
Ge (0.0000, 0.5000, 0.1228)  5 Ni 2.36-2.39
Ir (0.5000, 0.5000, 0.5000)  4 Ni 2.49

Calculated values
Its energy is -6.686 eV per atom. As for the crystal system: tetragonal.

---

Number 2 is which compound? TmMgGe